Entry 1:
DFT (PBE-GGA) results for an optimized crystal structure of NaPrI3.

a = 7.2536 Å, b = 8.6814 Å, c = 8.9448 Å
α = 61.79°, β = 82.43°, γ = 75.82°
Space group P-1 (No. 2)
Asymmetric unit:
Na (0.2207, 0.0187, 0.3423) [2 per cell]
Pr (0.0000, 0.5000, 0.5000) [1 per cell]
Pr (0.5000, 0.5000, 0.5000) [1 per cell]
I (0.1598, 0.6680, 0.7006) [2 per cell]
I (0.2326, 0.7517, 0.1774) [2 per cell]
I (0.3316, 0.1464, 0.6090) [2 per cell]

=====

Entry 2:
DFT (PBE-GGA) results for an optimized crystal structure of LiBSe2.

a = 9.3052 Å, b = 4.1618 Å, c = 9.1750 Å
α = 90.00°, β = 110.84°, γ = 90.00°
Space group C2/m (No. 12)
Asymmetric unit:
Li (0.2196, 0.0000, 0.2790) [4 per cell]
B (0.0000, 0.1935, 0.0000) [4 per cell]
Se (0.0426, 0.5000, 0.8522) [4 per cell]
Se (0.1338, 0.0000, 0.5293) [4 per cell]

=====

no.,total magnetization (μB per formula unit),ΔE_f (raw) (meV per atom)
1,0.4,-1204
2,0.0,-316